VASP calculation (PBE-GGA) on crystalline Mn2GaN at its relaxed geometry.

Calculated values
Mass density: 6.63 g/cm³
Formation energy without anion corrections: -0.78 eV/f.u.
DOS at the Fermi energy: 0.57 states/eV/atom

a b c (Å): 5.191 3.654 5.201
angles (deg): 90.00 100.70 90.00
Space group Pm (No. 6)
Unique sites:
Mn (0.000, 0.000, 0.000) x1
Mn (0.189, 0.500, 0.720) x1
Mn (0.487, 0.000, 0.995) x1
Mn (0.792, 0.500, 0.247) x1
Ga (0.295, 0.500, 0.263) x1
Ga (0.693, 0.500, 0.718) x1
N (0.191, 0.000, 0.716) x1
N (0.787, 0.000, 0.259) x1